Computed, not measured: a relaxed structure of PmScU at the PBE level of DFT.

Unit cell a=7.2264 b=7.2264 c=7.2264 alpha=90.00 beta=90.00 gamma=90.00
Closest atoms and distances in Å follow each position.
Space group F-43m (No. 216)
Asymmetric unit:
Pm: 0.0000 0.0000 0.0000 (multiplicity 4)  4 Sc 3.13
Sc: 0.2500 0.2500 0.2500 (multiplicity 4)  4 U 3.13, 4 Pm 3.13
U: 0.0000 0.0000 0.5000 (multiplicity 4)  4 Sc 3.13

Output
- Total magnetization: 13.99 μB/cell
- Energy relative to the elements: 1.20 eV per atom